# CdHRh3

A geometry-optimized CdHRh3 structure (PBE, Alexandria via LeMat-Bulk).

Output
DOS(E_F) in states/eV/cell: 12.1
Spin magnetization in μB/f.u.: 3.99
Final energy in eV for the cell shown: -15.4
Relative energy among the computed polymorphs in kJ/mol of atoms: 213.0
Space group: Pm-3m, No. 221

```
CdHRh3
1.0
4.969 0.000 0.000
0.000 4.969 0.000
0.000 0.000 4.969
Cd H Rh
1 1 3
Direct
0.000 0.000 0.000
0.500 0.500 0.500
0.000 0.000 0.500
0.000 0.500 0.000
0.500 0.000 0.000
```